1:
A relaxed structure of SbTe3As. Source: the Alexandria database, functional PBE-GGA.

Unit cell a=11.425 b=4.208 c=14.052 alpha=90.00 beta=90.00 gamma=90.00
Positions (direct):
Sb1 0.163 0.250 0.038
Sb2 0.337 0.750 0.538
Sb3 0.663 0.250 0.462
Sb4 0.837 0.750 0.962
Te1 0.026 0.750 0.136
Te2 0.145 0.250 0.449
Te3 0.174 0.750 0.703
Te4 0.326 0.250 0.203
Te5 0.355 0.750 0.949
Te6 0.474 0.250 0.636
Te7 0.526 0.750 0.364
Te8 0.645 0.250 0.051
Te9 0.674 0.750 0.797
Te10 0.826 0.250 0.297
Te11 0.855 0.750 0.551
Te12 0.974 0.250 0.864
As1 0.042 0.250 0.620
As2 0.458 0.750 0.120
As3 0.542 0.250 0.880
As4 0.958 0.750 0.380

Summary:
**ρ**: 5.70 g/cm³
**Total moment**: 0.0 μB per formula unit
**Space group**: Pnma
**Crystal system**: orthorhombic

2:
A relaxed structure of SbTe3As. Source: the Alexandria database, functional PBE-GGA.

Unit cell a=5.407 b=5.407 c=5.407 alpha=90.00 beta=90.00 gamma=90.00
Positions (direct):
Sb1 0.000 0.000 0.000
Te1 0.000 0.500 0.500
Te2 0.500 0.000 0.500
Te3 0.500 0.500 0.000
As1 0.500 0.500 0.500

Summary:
**ρ**: 6.09 g/cm³
**Total moment**: 0.0 μB per formula unit
**Space group**: Pm-3m
**Crystal system**: cubic

On energetic grounds, 1 is preferred over the next structure by 562 meV per atom.

1:
A relaxed structure of SbTe3As. Source: the Alexandria database, functional PBE-GGA.

Unit cell a=10.403 b=4.183 c=15.193 alpha=90.00 beta=90.00 gamma=90.00
Positions (direct):
Sb1 0.039 0.250 0.130
Sb2 0.461 0.750 0.630
Sb3 0.539 0.250 0.370
Sb4 0.961 0.750 0.870
Te1 0.005 0.250 0.382
Te2 0.175 0.250 0.967
Te3 0.204 0.750 0.207
Te4 0.296 0.250 0.707
Te5 0.325 0.750 0.467
Te6 0.495 0.750 0.882
Te7 0.505 0.250 0.118
Te8 0.675 0.250 0.533
Te9 0.704 0.750 0.293
Te10 0.796 0.250 0.793
Te11 0.825 0.750 0.033
Te12 0.995 0.750 0.618
As1 0.145 0.250 0.547
As2 0.355 0.750 0.047
As3 0.645 0.250 0.953
As4 0.855 0.750 0.453

Summary:
**ρ**: 5.82 g/cm³
**Total moment**: 0.0 μB per formula unit
**Space group**: Pnma
**Crystal system**: orthorhombic

2:
A relaxed structure of SbTe3As. Source: the Alexandria database, functional PBE-GGA.

Unit cell a=5.716 b=5.716 c=5.716 alpha=90.00 beta=90.00 gamma=90.00
Positions (direct):
Sb1 0.000 0.000 0.000
Te1 0.000 0.000 0.500
Te2 0.000 0.500 0.000
Te3 0.500 0.000 0.000
As1 0.500 0.500 0.500

Summary:
**ρ**: 5.15 g/cm³
**Total moment**: 1.0 μB per formula unit
**Space group**: Pm-3m
**Crystal system**: cubic

On energetic grounds, 1 is preferred over the next structure by 932 meV per atom.